1.
# BeTe2PdN

Crystalline BeTe2PdN at its relaxed geometry (PBEsol, Alexandria).

Properties
As for the uncorrected formation energy: 234 meV per atom. The total energy comes out at -4.87 eV per atom. The value obtained for the volume is 16.7 A^3/atom.

Cell: 5.226 5.226 3.053 Å, 90.00 90.00 90.00°
Fractional positions:
Be 0.000 0.000 0.000
Te 0.000 0.500 0.000
Te 0.500 0.000 0.000
Pd 0.500 0.500 0.500
N 0.000 0.000 0.500

=====

2.
# BePt2N2

Crystalline BePt2N2 at its relaxed geometry (PBEsol, Alexandria).

Properties
As for the uncorrected formation energy: 766 meV per atom. The total energy comes out at -6.23 eV per atom. The value obtained for the volume is 11.4 A^3/atom.

Cell: 3.933 3.933 7.360 Å, 90.00 90.00 90.00°
Fractional positions:
Be 0.000 0.000 0.000
Be 0.500 0.500 0.500
Pt 0.000 0.500 0.250
Pt 0.000 0.500 0.750
Pt 0.500 0.000 0.250
Pt 0.500 0.000 0.750
N 0.000 0.000 0.418
N 0.000 0.000 0.582
N 0.500 0.500 0.082
N 0.500 0.500 0.918

=====

Please write out number 2 again, unchanged.
# BePt2N2

Crystalline BePt2N2 at its relaxed geometry (PBEsol, Alexandria).

Properties
As for the uncorrected formation energy: 766 meV per atom. The total energy comes out at -6.23 eV per atom. The value obtained for the volume is 11.4 A^3/atom.

Cell: 3.933 3.933 7.360 Å, 90.00 90.00 90.00°
Fractional positions:
Be 0.000 0.000 0.000
Be 0.500 0.500 0.500
Pt 0.000 0.500 0.250
Pt 0.000 0.500 0.750
Pt 0.500 0.000 0.250
Pt 0.500 0.000 0.750
N 0.000 0.000 0.418
N 0.000 0.000 0.582
N 0.500 0.500 0.082
N 0.500 0.500 0.918

=====

Look up the volume of the first one. 16.7 A^3/atom

=====

Repeat the second record exactly.
# BePt2N2

Crystalline BePt2N2 at its relaxed geometry (PBEsol, Alexandria).

Properties
As for the uncorrected formation energy: 766 meV per atom. The total energy comes out at -6.23 eV per atom. The value obtained for the volume is 11.4 A^3/atom.

Cell: 3.933 3.933 7.360 Å, 90.00 90.00 90.00°
Fractional positions:
Be 0.000 0.000 0.000
Be 0.500 0.500 0.500
Pt 0.000 0.500 0.250
Pt 0.000 0.500 0.750
Pt 0.500 0.000 0.250
Pt 0.500 0.000 0.750
N 0.000 0.000 0.418
N 0.000 0.000 0.582
N 0.500 0.500 0.082
N 0.500 0.500 0.918